Material: Fe3P2O16
Method: DFT, GGA+U
State: relaxed

Properties
Excess energy over the best structure of this formula in the dataset   4 meV/atom
Total DFT energy (no corrections)   -6.19 eV/atom
Size of the total moment   0.48 μB per atom

Cell: 10.2507 11.3384 4.6383 Å, 90.00 105.25 90.00°
Closest atoms and distances in Å follow each position.
Space group C2/m (No. 12)
Inequivalent atoms, fractional coordinates:
Fe: 0.0000 0.0000 0.0000  6 O 1.91-2.08
Fe: 0.0000 0.3683 0.0000  6 O 1.96-2.11
P: 0.1770 0.5000 0.5722  4 O 1.54-1.59
O: 0.0664 0.1347 0.7693  1 O 1.29
O: 0.1090 0.5000 0.8436  1 P 1.59
O: 0.1123 0.2338 0.8922  1 O 1.29
O: 0.1337 0.3865 0.3866  1 P 1.55
O: 0.1690 0.0000 0.2971  1 P 1.54